VASP calculation (PBE) on a geometry-optimized KLa2Mo structure.

a = 3.789 Å, b = 4.338 Å, c = 9.923 Å
α = 90.00°, β = 90.00°, γ = 90.00°
Space group Pmm2 (No. 25)
One atom of each set of equivalent atoms:
K: 0.000 0.000 0.000 (multiplicity 1)
La: 0.000 0.000 0.618 (multiplicity 1)
La: 0.500 0.500 0.347 (multiplicity 1)
Mo: 0.500 0.500 0.588 (multiplicity 1)

Computed properties:
formation energy from the elements	590	meV/atom
calculated volume	40.8	Å³ per atom
E above lowest polymorph	234.9	meV per atom
energy	-4.855	eV per atom



VASP calculation (PBE) on a geometry-optimized TcAgHgCl6 structure.

a = 6.7917 Å, b = 6.7917 Å, c = 11.8767 Å
α = 90.00°, β = 90.00°, γ = 120.00°
Space group P-31c (No. 163)
One atom of each set of equivalent atoms:
Tc: 0.3333 0.6667 0.2500 (multiplicity 2)
Ag: 0.3333 0.6667 0.7500 (multiplicity 2)
Hg: 0.0000 0.0000 0.0000 (multiplicity 2)
Cl: 0.0403 0.3888 0.1341 (multiplicity 12)

Computed properties:
ΔE_f (raw)	-537	meV per atom
calculated volume	26.4	Å³ per atom
energy	-3.271	eV per atom



VASP calculation (PBE) on a geometry-optimized PrSm3In2 structure.

a = 5.332 Å, b = 10.093 Å, c = 6.852 Å
α = 90.00°, β = 90.00°, γ = 90.00°
Space group Pmc2_1 (No. 26)
One atom of each set of equivalent atoms:
Pr: 0.000 0.039 0.000 (multiplicity 2)
Sm: 0.000 0.323 0.655 (multiplicity 2)
Sm: 0.500 0.181 0.274 (multiplicity 2)
Sm: 0.500 0.459 0.931 (multiplicity 2)
In: 0.000 0.358 0.178 (multiplicity 2)
In: 0.500 0.145 0.749 (multiplicity 2)

Computed properties:
formation energy from the elements	-349	meV/atom
calculated volume	30.7	Å³ per atom
E above lowest polymorph	0.0	meV per atom
energy	-4.418	eV per atom



VASP calculation (PBE) on a geometry-optimized BeGaSb2I structure.

a = 5.365 Å, b = 5.365 Å, c = 5.577 Å
α = 90.00°, β = 90.00°, γ = 90.00°
Space group P4/mmm (No. 123)
One atom of each set of equivalent atoms:
Be: 0.000 0.000 0.000 (multiplicity 1)
Ga: 0.500 0.500 0.500 (multiplicity 1)
Sb: 0.000 0.500 0.500 (multiplicity 2)
I: 0.500 0.500 0.000 (multiplicity 1)

Computed properties:
ΔE_f (raw)	1003	meV per atom
calculated volume	32.1	Å³ per atom
E above lowest polymorph	611.4	meV per atom
energy	-2.307	eV per atom



VASP calculation (PBE) on a geometry-optimized Er2LuHf structure.

a = 3.960 Å, b = 3.960 Å, c = 7.094 Å
α = 90.00°, β = 90.00°, γ = 90.00°
Space group P4/mmm (No. 123)
One atom of each set of equivalent atoms:
Er: 0.000 0.000 0.228 (multiplicity 2)
Lu: 0.500 0.500 0.500 (multiplicity 1)
Hf: 0.500 0.500 0.000 (multiplicity 1)

Computed properties:
formation energy from the elements	214	meV/atom
calculated volume	27.8	Å³ per atom
E above lowest polymorph	88.0	meV per atom
energy	-5.686	eV per atom



VASP calculation (PBE) on a geometry-optimized MgMnOs2 structure.

a = 10.083 Å, b = 2.828 Å, c = 4.504 Å
α = 90.00°, β = 114.00°, γ = 90.00°
Space group C2/m (No. 12)
One atom of each set of equivalent atoms:
Mg: 0.000 0.000 0.000 (multiplicity 2)
Mn: 0.000 0.500 0.500 (multiplicity 2)
Os: 0.222 0.000 0.723 (multiplicity 4)

Computed properties:
formation energy from the elements	180	meV/atom
calculated volume	14.7	Å³ per atom
energy	-8.125	eV per atom